The following is a DFT calculation (PBE-GGA) of Pm6Ir3Au after structural relaxation. Values from VASP.

DOS at the Fermi energy: 11.1 states/eV per cell
distance to the lowest polymorph of the same formula: 0 meV/atom
SG: P2_1/m (11)
V: 28.18 Å³/atom
DFT formation energy: -0.64 eV/atom

Cell and atoms, written as Quantum ESPRESSO input:
```
&SYSTEM
  ibrav = 0, nat = 20, ntyp = 3
/
ATOMIC_SPECIES
Pm 145.00 Pm.upf
Ir 192.22 Ir.upf
Au 196.97 Au.upf
CELL_PARAMETERS angstrom
11.807 0.000 0.000
0.000 4.215 0.000
-3.797 0.000 11.327
ATOMIC_POSITIONS crystal
Pm 0.045 0.250 0.409
Pm 0.111 0.250 0.964
Pm 0.208 0.750 0.271
Pm 0.255 0.750 0.778
Pm 0.377 0.250 0.551
Pm 0.437 0.750 0.104
Pm 0.563 0.250 0.896
Pm 0.623 0.750 0.449
Pm 0.745 0.250 0.222
Pm 0.792 0.250 0.729
Pm 0.889 0.750 0.036
Pm 0.955 0.750 0.591
Ir 0.032 0.250 0.173
Ir 0.201 0.750 0.517
Ir 0.341 0.250 0.937
Ir 0.659 0.750 0.063
Ir 0.799 0.250 0.483
Ir 0.968 0.750 0.827
Au 0.426 0.250 0.305
Au 0.574 0.750 0.695
```